Version A
This record from Alexandria describes crystalline LiIr2Cl at its relaxed geometry. The functional is PBE-GGA.

Structure (POSCAR):
```
LiIr2Cl
1.0
-6.847 -2.442 -2.847
-3.500 -5.280 -4.564
4.483 2.852 5.720
Ir Cl Li
2 1 1
direct
0.470 0.470 0.000
0.030 0.030 0.000
0.250 0.750 0.500
0.750 0.250 0.500
```

- SG: Immm, No. 71



Version B
This record from Alexandria describes crystalline LiIr2Cl at its relaxed geometry. The functional is PBE-GGA.

Structure (POSCAR):
```
LiIr2Cl
1.0
-2.030 -1.462 -1.169
2.844 -2.193 -2.196
0.398 -4.793 5.301
Li Ir Cl
1 2 1
direct
0.500 0.000 0.500
0.000 0.000 0.000
0.500 0.500 0.000
0.000 0.500 0.500
```

- SG: Pmmm, No. 47



Relative energies, unit meV/atom: version A 0; version B 244



Version A
This record from Alexandria describes crystalline LiIr2Cl at its relaxed geometry. The functional is PBE-GGA.

Structure (POSCAR):
```
LiIr2Cl
1.0
3.028 0.000 0.000
0.000 3.028 0.000
0.000 0.000 6.038
Cl Ir Li
1 2 1
direct
0.500 0.500 0.750
0.000 0.000 0.471
0.000 0.000 0.029
0.500 0.500 0.250
```

- SG: P4/mmm, No. 123



Version B
This record from Alexandria describes crystalline LiIr2Cl at its relaxed geometry. The functional is PBE-GGA.

Structure (POSCAR):
```
LiIr2Cl
1.0
0.000 3.027 3.027
3.027 0.000 3.027
3.027 3.027 0.000
Ir Cl Li
2 1 1
direct
0.750 0.750 0.750
0.250 0.250 0.250
0.500 0.500 0.500
0.000 0.000 0.000
```

- SG: Fm-3m, No. 225



Relative energies, unit meV/atom: version A 0; version B 209



Version A
This record from Alexandria describes crystalline LiIr2Cl at its relaxed geometry. The functional is PBE-GGA.

Structure (POSCAR):
```
LiIr2Cl
1.0
-0.953 -1.810 1.783
-1.010 -1.477 -2.040
6.934 -4.106 -0.460
Cl Ir Li
1 2 1
direct
0.500 0.500 0.750
0.000 0.000 0.493
0.000 0.000 0.007
0.500 0.500 0.250
```

- SG: P4/mmm, No. 123



Version B
This record from Alexandria describes crystalline LiIr2Cl at its relaxed geometry. The functional is PBE-GGA.

Structure (POSCAR):
```
LiIr2Cl
1.0
-0.911 -2.378 -1.301
1.928 -0.147 2.107
-6.294 -0.713 5.711
Ir Cl Li
2 1 1
direct
0.000 0.000 0.997
0.500 0.500 0.252
0.500 0.500 0.730
0.000 0.000 0.521
```

- SG: Cmm2, No. 35



Relative energies, unit meV/atom: version A 545; version B 0



Version A
This record from Alexandria describes crystalline LiPIrCl2 at its relaxed geometry. The functional is PBE-GGA.

Structure (POSCAR):
```
LiPIrCl2
1.0
3.902 0.000 0.000
0.000 3.902 0.000
0.000 0.000 8.592
Cl P Ir Li
2 1 1 1
direct
0.000 0.500 0.000
0.500 0.000 0.000
0.000 0.000 0.500
0.500 0.500 0.500
0.000 0.000 0.000
```

- SG: P4/mmm, No. 123



Version B
This record from Alexandria describes crystalline LiPIrCl2 at its relaxed geometry. The functional is PBE-GGA.

Structure (POSCAR):
```
LiPIrCl2
1.0
5.198 0.000 0.000
0.000 5.198 0.000
0.000 0.000 4.389
Ir P Li Cl
1 1 1 2
direct
0.000 0.000 0.000
0.000 0.000 0.500
0.500 0.500 0.500
0.500 0.000 0.000
0.000 0.500 0.000
```

- SG: P4/mmm, No. 123



Relative energies, unit meV/atom: version A 857; version B 0



Version A
This record from Alexandria describes crystalline LiIrS2Cl at its relaxed geometry. The functional is PBE-GGA.

Structure (POSCAR):
```
LiIrS2Cl
1.0
4.381 0.000 0.000
0.000 4.381 0.000
0.000 0.000 4.258
S Ir Li Cl
2 1 1 1
direct
0.500 0.000 0.000
0.000 0.500 0.000
0.500 0.500 0.500
0.000 0.000 0.000
0.000 0.000 0.500
```

- SG: P4/mmm, No. 123



Version B
This record from Alexandria describes crystalline LiIrS2Cl at its relaxed geometry. The functional is PBE-GGA.

Structure (POSCAR):
```
LiIrS2Cl
1.0
-1.426 -4.121 1.306
2.343 -1.892 -3.413
4.337 -0.474 3.240
Cl S Ir Li
1 2 1 1
direct
0.000 0.000 0.500
0.000 0.500 0.000
0.500 0.000 0.000
0.000 0.000 0.000
0.500 0.500 0.500
```

- SG: P4/mmm, No. 123



Relative energies, unit meV/atom: version A 968; version B 0



Version A
This record from Alexandria describes crystalline MgIrCl at its relaxed geometry. The functional is PBE-GGA.

Structure (POSCAR):
```
MgIrCl
1.0
4.284 0.000 0.000
-2.142 3.710 0.000
0.000 0.000 3.134
Mg Ir Cl
1 1 1
direct
0.333 0.667 0.667
0.667 0.333 0.167
0.000 0.000 0.166
```

- SG: P-6m2, No. 187



Version B
This record from Alexandria describes crystalline MgIrCl at its relaxed geometry. The functional is PBE-GGA.

Structure (POSCAR):
```
MgIrCl
1.0
-3.593 -1.263 1.078
1.605 -1.979 3.029
-0.830 6.189 4.484
Mg Cl Ir
2 2 2
direct
0.500 0.000 0.300
0.000 0.500 0.700
0.500 0.500 0.500
0.000 0.000 0.500
0.500 0.000 0.977
0.000 0.500 0.023
```

- SG: P4/nmm, No. 129



Version C
This record from Alexandria describes crystalline MgIrCl at its relaxed geometry. The functional is PBE-GGA.

Structure (POSCAR):
```
MgIrCl
1.0
3.576 -2.065 0.000
0.000 4.129 0.000
0.000 0.000 7.340
Cl Mg Ir
2 2 2
direct
0.667 0.333 0.750
0.333 0.667 0.250
0.000 0.000 0.000
0.000 0.000 0.500
0.333 0.667 0.750
0.667 0.333 0.250
```

- SG: P6_3/mmc, No. 194



Relative energies, unit meV/atom: version A 243; version B 0; version C 478



Version A
This record from Alexandria describes crystalline MgIrCl6 at its relaxed geometry. The functional is PBE-GGA.

Structure (POSCAR):
```
MgIrCl6
1.0
6.144 0.009 0.008
3.066 5.325 0.011
3.064 1.771 5.485
Cl Ir Mg
6 1 1
direct
0.603 0.232 0.243
0.078 0.397 0.757
0.768 0.078 0.757
0.922 0.603 0.243
0.397 0.768 0.757
0.232 0.922 0.243
0.000 0.000 0.000
0.500 0.500 0.500
```

- SG: R-3, No. 148



Version B
This record from Alexandria describes crystalline MgIrCl6 at its relaxed geometry. The functional is PBE-GGA.

Structure (POSCAR):
```
MgIrCl6
1.0
6.754 -0.277 -1.409
-2.311 6.352 -1.409
0.250 0.341 6.185
Ir Cl Mg
1 6 1
direct
0.000 0.000 0.000
0.977 0.265 0.274
0.243 0.243 0.862
0.023 0.735 0.726
0.757 0.757 0.138
0.735 0.023 0.726
0.265 0.977 0.274
0.000 0.000 0.500
```

- SG: C2/m, No. 12



Relative energies, unit meV/atom: version A 71; version B 0



Version A
This record from Alexandria describes crystalline MgPIrCl2 at its relaxed geometry. The functional is PBE-GGA.

Structure (POSCAR):
```
MgPIrCl2
1.0
5.024 0.000 0.000
0.000 5.024 0.000
0.000 0.000 4.495
Cl Ir P Mg
2 1 1 1
direct
0.500 0.000 0.000
0.000 0.500 0.000
0.000 0.000 0.000
0.000 0.000 0.500
0.500 0.500 0.500
```

- SG: P4/mmm, No. 123



Version B
This record from Alexandria describes crystalline MgPIrCl2 at its relaxed geometry. The functional is PBE-GGA.

Structure (POSCAR):
```
MgPIrCl2
1.0
-3.449 -2.705 0.382
2.697 -3.273 1.172
-0.647 1.707 6.254
Cl P Mg Ir
2 1 1 1
direct
0.000 0.500 0.000
0.500 0.000 0.000
0.000 0.000 0.500
0.000 0.000 0.000
0.500 0.500 0.500
```

- SG: P4/mmm, No. 123



Relative energies, unit meV/atom: version A 0; version B 533



Version A
This record from Alexandria describes crystalline MgIrSCl2 at its relaxed geometry. The functional is PBE-GGA.

Structure (POSCAR):
```
MgIrSCl2
1.0
-1.188 -0.910 -4.303
2.760 -3.624 0.004
-3.995 -3.040 1.746
S Cl Ir Mg
1 2 1 1
direct
0.000 0.000 0.500
0.000 0.500 0.000
0.500 0.000 0.000
0.500 0.500 0.500
0.000 0.000 0.000
```

- SG: P4/mmm, No. 123



Version B
This record from Alexandria describes crystalline MgIrSCl2 at its relaxed geometry. The functional is PBE-GGA.

Structure (POSCAR):
```
MgIrSCl2
1.0
-3.975 1.066 -2.624
2.599 -0.422 -4.109
-1.062 -4.482 -0.212
S Mg Cl Ir
1 1 2 1
direct
0.000 0.000 0.500
0.500 0.500 0.500
0.000 0.500 0.000
0.500 0.000 0.000
0.000 0.000 0.000
```

- SG: P4/mmm, No. 123



Relative energies, unit meV/atom: version A 458; version B 0



Version A
This record from Alexandria describes crystalline MnIr2Cl at its relaxed geometry. The functional is PBE-GGA.

Structure (POSCAR):
```
MnIr2Cl
1.0
-2.785 0.628 -0.333
0.425 -0.072 -3.690
-1.572 -6.999 -0.045
Cl Mn Ir
1 1 2
direct
0.500 0.500 0.677
0.000 0.000 0.480
0.000 0.000 0.107
0.500 0.500 0.236
```

- SG: Pmm2, No. 25



Version B
This record from Alexandria describes crystalline MnIr2Cl at its relaxed geometry. The functional is PBE-GGA.

Structure (POSCAR):
```
MnIr2Cl
1.0
4.696 0.097 0.000
1.202 4.541 0.000
-2.949 -2.319 2.826
Ir Cl Mn
2 1 1
direct
0.500 0.500 0.000
0.000 0.000 0.000
0.750 0.250 0.500
0.250 0.750 0.500
```

- SG: I4/mmm, No. 139



Relative energies, unit meV/atom: version A 0; version B 471



Version A
This record from Alexandria describes crystalline MnIr2Cl at its relaxed geometry. The functional is PBE-GGA.

Structure (POSCAR):
```
MnIr2Cl
1.0
-3.018 1.620 -1.128
0.641 -0.719 -2.746
-3.342 -5.727 0.719
Mn Ir Cl
1 2 1
direct
0.000 0.750 0.467
0.000 0.750 0.069
0.500 0.250 0.232
0.500 0.750 0.732
```

- SG: Pmm2, No. 25



Version B
This record from Alexandria describes crystalline MnIr2Cl at its relaxed geometry. The functional is PBE-GGA.

Structure (POSCAR):
```
MnIr2Cl
1.0
-3.860 -1.761 -1.267
1.285 -3.942 1.555
0.053 3.550 2.646
Mn Ir Cl
1 2 1
direct
0.500 0.500 0.000
0.250 0.750 0.500
0.000 0.000 0.000
0.750 0.250 0.500
```

- SG: F-43m, No. 216



Relative energies, unit meV/atom: version A 0; version B 481



Version A
This record from Alexandria describes crystalline MnIr2Cl at its relaxed geometry. The functional is PBE-GGA.

Structure (POSCAR):
```
MnIr2Cl
1.0
2.824 0.011 0.000
-1.412 2.446 0.000
0.000 0.000 9.680
Cl Ir Mn
1 2 1
direct
0.500 0.500 0.684
0.500 0.500 0.279
0.000 0.000 0.043
0.000 0.000 0.495
```

- SG: Cmm2, No. 35



Version B
This record from Alexandria describes crystalline MnIr2Cl at its relaxed geometry. The functional is PBE-GGA.

Structure (POSCAR):
```
MnIr2Cl
1.0
-1.320 -2.340 -4.566
0.194 -5.289 -0.237
-2.089 4.382 2.123
Mn Cl Ir
1 1 2
direct
0.509 0.509 0.000
0.751 0.251 0.500
0.995 0.995 0.000
0.245 0.745 0.500
```

- SG: Imm2, No. 44



Version C
This record from Alexandria describes crystalline MnIr2Cl at its relaxed geometry. The functional is PBE-GGA.

Structure (POSCAR):
```
MnIr2Cl
1.0
-5.110 4.433 5.165
-7.091 3.060 3.578
-5.914 1.751 5.866
Ir Cl Mn
2 1 1
direct
0.507 0.507 0.507
0.993 0.993 0.993
0.750 0.750 0.750
0.250 0.250 0.250
```

- SG: R-3m, No. 166



Relative energies, unit meV/atom: version A 61; version B 340; version C 0